# 1
The following is a DFT calculation (PBE) of an optimized crystal structure of AcAs2Rh.

```
AcAs2Rh
1.0
4.3519 0.0000 0.0000
0.0000 4.3519 0.0000
0.0000 0.0000 10.0287
Ac As Rh
2 4 2
direct
0.0000 0.0000 0.0000
0.5000 0.5000 0.5000
0.0000 0.0000 0.3679
0.0000 0.0000 0.6321
0.5000 0.5000 0.1321
0.5000 0.5000 0.8679
0.0000 0.5000 0.7500
0.5000 0.0000 0.2500
```

Results
ΔH_f (0 K): -0.89 eV per atom
Total magnetic moment: 0.0 μB per cell
Energy relative to the lowest polymorph listed for this composition: 25 meV/atom
Total energy: -6.08 eV/atom
Crystal system: tetragonal
Symmetry: I-4m2 (119)


# 2
The following is a DFT calculation (PBE) of an optimized crystal structure of HfSiSb2Mo.

```
HfSiSb2Mo
1.0
5.2725 0.0000 0.0000
0.0000 5.2725 0.0000
0.0000 0.0000 4.5671
Hf Si Sb Mo
1 1 2 1
direct
0.0000 0.0000 0.0000
0.5000 0.5000 0.0000
0.0000 0.5000 0.5000
0.5000 0.0000 0.5000
0.5000 0.5000 0.5000
```

Results
Formation energy from raw total energies: 0.79 eV per atom
Total magnetic moment: 0.0 μB per cell
Total energy: -6.10 eV/atom
Crystal system: tetragonal
Symmetry: P4/mmm (123)